[1]
VASP calculation (meta-GGA SCAN) on a crystal of CdCo2Si relaxed with PBEsol. Values from VASP.

Geometry as Quantum ESPRESSO input:
```
&SYSTEM
  ibrav = 0, nat = 4, ntyp = 3
/
ATOMIC_SPECIES
Si 28.09 Si.upf
Co 58.93 Co.upf
Cd 112.41 Cd.upf
ATOMIC_POSITIONS crystal
Si 0.5000 0.0000 0.5000
Co 0.2500 0.5000 0.2500
Co 0.7500 0.5000 0.7500
Cd 0.0000 0.0000 0.0000
CELL_PARAMETERS angstrom
-4.0924 -0.4669 -0.0571
2.4523 -3.2653 -0.4667
0.2795 -2.8163 2.9932
```

Properties
Crystal system: tetragonal
Polymorph energy (0 for the lowest one): 0.224 eV per formula unit
Theoretical density: 8719 kg/m3
Formation energy without anion corrections: 177 meV per atom

---

[2]
VASP calculation (meta-GGA SCAN) on a crystal of Li3BiP2O8 relaxed with PBEsol. Values from VASP.

Geometry as Quantum ESPRESSO input:
```
&SYSTEM
  ibrav = 0, nat = 42, ntyp = 4
/
ATOMIC_SPECIES
O 16.00 O.upf
P 30.97 P.upf
Bi 208.98 Bi.upf
Li 6.94 Li.upf
ATOMIC_POSITIONS crystal
O 0.9078 0.4228 0.2603
O 0.7531 0.4790 0.8950
O 0.0922 0.1625 0.4228
O 0.2231 0.9098 0.1215
O 0.2469 0.5840 0.4790
O 0.2469 0.5210 0.1050
O 0.7769 0.1215 0.2117
O 0.7531 0.4160 0.5210
O 0.2231 0.8785 0.7883
O 0.0922 0.5772 0.7397
O 0.4262 0.6338 0.7627
O 0.7769 0.7883 0.9098
O 0.0922 0.2603 0.8375
O 0.2231 0.2117 0.0902
O 0.4262 0.2373 0.8711
O 0.5738 0.8711 0.6338
O 0.5738 0.7627 0.1289
O 0.2469 0.8950 0.4160
O 0.9078 0.7397 0.1625
O 0.7769 0.0902 0.8785
O 0.9078 0.8375 0.5772
O 0.5738 0.3662 0.2373
O 0.4262 0.1289 0.3662
O 0.7531 0.1050 0.5840
P 0.7531 0.3313 0.3064
P 0.7531 0.6936 0.0249
P 0.2469 0.0249 0.3313
P 0.7531 0.9751 0.6687
P 0.2469 0.3064 0.9751
P 0.2469 0.6687 0.6936
Bi 0.4593 0.6667 0.3333
Bi 0.5407 0.3333 0.6667
Bi 0.5000 0.0000 0.0000
Li 0.0081 0.6667 0.3333
Li 0.8661 0.3321 0.9873
Li 0.0000 0.0000 0.0000
Li 0.8661 0.0127 0.3448
Li 0.1339 0.3448 0.3321
Li 0.1339 0.9873 0.6552
Li 0.1339 0.6679 0.0127
Li 0.9919 0.3333 0.6667
Li 0.8661 0.6552 0.6679
CELL_PARAMETERS angstrom
-4.6869 5.4293 2.1691
-5.3578 -5.7852 2.9036
5.9511 3.1223 5.0438
```

Properties
Crystal system: trigonal
Polymorph energy (0 for the lowest one): 0.000 eV per formula unit
Theoretical density: 4564 kg/m3
Formation energy without anion corrections: -2353 meV per atom

---

[3]
VASP calculation (meta-GGA SCAN) on a crystal of Nb2ReSi2 relaxed with PBEsol. Values from VASP.

Geometry as Quantum ESPRESSO input:
```
&SYSTEM
  ibrav = 0, nat = 10, ntyp = 3
/
ATOMIC_SPECIES
Si 28.09 Si.upf
Nb 92.91 Nb.upf
Re 186.21 Re.upf
ATOMIC_POSITIONS crystal
Si 0.0000 0.3686 0.8686
Si 0.0000 0.8686 0.6314
Si 0.0000 0.1314 0.3686
Si 0.0000 0.6314 0.1314
Nb 0.5000 0.1692 0.6692
Nb 0.5000 0.3308 0.1692
Nb 0.5000 0.8308 0.3308
Nb 0.5000 0.6692 0.8308
Re 0.0000 0.0000 0.0000
Re 0.0000 0.5000 0.5000
CELL_PARAMETERS angstrom
3.5340 0.0000 0.0000
0.0000 6.4776 0.0000
0.0000 0.0000 6.4776
```

Properties
Crystal system: tetragonal
Theoretical density: 9590 kg/m3
Formation energy without anion corrections: -503 meV per atom

---

[4]
VASP calculation (meta-GGA SCAN) on a crystal of NbTcPt2 relaxed with PBEsol. Values from VASP.

Geometry as Quantum ESPRESSO input:
```
&SYSTEM
  ibrav = 0, nat = 4, ntyp = 3
/
ATOMIC_SPECIES
Nb 92.91 Nb.upf
Tc 98.00 Tc.upf
Pt 195.08 Pt.upf
ATOMIC_POSITIONS crystal
Nb 0.0000 0.0000 0.0000
Tc 0.5000 0.5000 0.5000
Pt 0.7500 0.7500 0.7500
Pt 0.2500 0.2500 0.2500
CELL_PARAMETERS angstrom
-2.0552 -0.3006 3.9510
1.1275 -3.2347 2.8619
2.2085 1.0048 3.7467
```

Properties
Crystal system: cubic
Theoretical density: 15343 kg/m3
E_form: -0.077 eV/atom